Entry 1:
## CeOs6 (PBE)

Data for a relaxed structure of CeOs6.

Summary:
SG: Im-3m
Crystal system: cubic
Energy, Ry/atom: -0.7138

abc: 5.9081 5.9081 5.9081
angles: 109.47 109.47 109.47
Closest atoms and distances in Å follow each position.
Atoms (fractional coordinates):
1 Ce 0.0000 0.0000 0.0000  24 Os 3.81
2 Os 0.2500 0.7500 0.5000  4 Os 2.41
3 Os 0.5000 0.7500 0.2500  4 Os 2.41
4 Os 0.2500 0.5000 0.7500  4 Os 2.41
5 Os 0.7500 0.2500 0.5000  4 Os 2.41
6 Os 0.5000 0.2500 0.7500  4 Os 2.41
7 Os 0.7500 0.5000 0.2500  4 Os 2.41

=====

Entry 2:
## Ce3Os2 (PBE)

Data for a relaxed structure of Ce3Os2.

Summary:
Energy above the lowest structure with this stoichiometry, meV per atom: 0.0
SG: R-3
Crystal system: trigonal
Energy, Ry/atom: -0.6056

abc: 7.4284 7.4284 7.4284
angles: 70.27 70.27 70.27
Closest atoms and distances in Å follow each position.
Atoms (fractional coordinates):
1 Ce 0.0000 0.0000 0.0000  6 Os 2.99, 2 Ce 3.29
2 Ce 0.8024 0.8024 0.8024  6 Os 2.81-3.07
3 Ce 0.1976 0.1976 0.1976  6 Os 2.81-3.07
4 Ce 0.3341 0.6033 0.8367  5 Os 2.82-3.11
5 Ce 0.8367 0.3341 0.6033  5 Os 2.82-3.11
6 Ce 0.6033 0.8367 0.3341  5 Os 2.82-3.11
7 Ce 0.6659 0.3967 0.1633  5 Os 2.82-3.11
8 Ce 0.1633 0.6659 0.3967  5 Os 2.82-3.11
9 Ce 0.3967 0.1633 0.6659  5 Os 2.82-3.11
10 Os 0.1726 0.9587 0.5848  8 Ce 2.81-3.11, 1 Os 3.02
11 Os 0.5848 0.1726 0.9587  8 Ce 2.81-3.11, 1 Os 3.02
12 Os 0.9587 0.5848 0.1726  8 Ce 2.81-3.11, 1 Os 3.02
13 Os 0.8274 0.0413 0.4152  8 Ce 2.81-3.11, 1 Os 3.02
14 Os 0.4152 0.8274 0.0413  8 Ce 2.81-3.11, 1 Os 3.02
15 Os 0.0413 0.4152 0.8274  8 Ce 2.81-3.11, 1 Os 3.02

=====

Entry 3:
## CeOs (PBE)

Data for a relaxed structure of CeOs.

Summary:
SG: Pnma
Crystal system: orthorhombic
Energy, Ry/atom: -0.6385

abc: 3.9965 5.8254 7.4571
angles: 90.00 90.00 90.00
Closest atoms and distances in Å follow each position.
Atoms (fractional coordinates):
1 Ce 0.7500 0.8434 0.8270  6 Os 2.83-3.07
2 Ce 0.2500 0.3434 0.6730  6 Os 2.83-3.07
3 Ce 0.7500 0.6566 0.3270  6 Os 2.83-3.07
4 Ce 0.2500 0.1566 0.1730  6 Os 2.83-3.07
5 Os 0.7500 0.1509 0.4409  2 Os 2.80, 6 Ce 2.83-3.07
6 Os 0.2500 0.8491 0.5591  2 Os 2.80, 6 Ce 2.83-3.07
7 Os 0.2500 0.6509 0.0591  2 Os 2.80, 6 Ce 2.83-3.07
8 Os 0.7500 0.3491 0.9409  2 Os 2.80, 6 Ce 2.83-3.07

=====

Entry 4:
## Ce6POs2 (PBE)

Data for a relaxed structure of Ce6POs2.

Summary:
SG: C2/m
Crystal system: monoclinic
Energy, Ry/atom: -0.5471

abc: 4.6729 5.7407 9.4161
angles: 66.91 75.63 65.98
Closest atoms and distances in Å follow each position.
Atoms (fractional coordinates):
1 Ce 0.6238 0.9077 0.8448  3 Os 2.88-2.91, 2 Ce 2.94
2 Ce 0.3762 0.0923 0.1552  3 Os 2.88-2.91, 2 Ce 2.94
3 Ce 0.0418 0.7432 0.1732  1 P 2.83, 2 Ce 2.94, 3 Os 2.96-3.12
4 Ce 0.3273 0.7686 0.5767  1 Os 2.62, 2 P 2.93
5 Ce 0.9582 0.2568 0.8268  1 P 2.83, 2 Ce 2.94, 3 Os 2.96-3.12
6 Ce 0.6727 0.2314 0.4233  1 Os 2.62, 2 P 2.93
7 P 0.0000 0.5000 0.5000  6 Ce 2.83-2.93
8 Os 0.2787 0.5627 0.8798  4 Ce 2.62-2.91
9 Os 0.7213 0.4373 0.1202  4 Ce 2.62-2.91

=====

Entry 5:
## CeP2Os (PBE)

Data for a relaxed structure of CeP2Os.

Summary:
Energy above the lowest structure with this stoichiometry, meV per atom: 189.2
SG: I-4m2
Crystal system: tetragonal
Energy, Ry/atom: -0.5695

abc: 4.0168 4.0169 5.5310
angles: 111.29 111.29 89.99
Closest atoms and distances in Å follow each position.
Atoms (fractional coordinates):
1 Ce 0.2212 0.8813 0.2282  8 P 3.09-3.10, 4 Os 3.11
2 P 0.8506 0.5104 0.4868  2 Os 2.31, 1 P 2.45
3 P 0.5921 0.2519 0.9696  2 Os 2.31, 1 P 2.45
4 Os 0.4713 0.6311 0.7282  4 P 2.31

=====

Entry 6:
## CeP3Os3 (PBE)

Data for a relaxed structure of CeP3Os3.

Summary:
SG: Pm-3n
Crystal system: cubic
Energy, Ry/atom: -0.5995

abc: 6.4574 6.4574 6.4574
angles: 90.00 90.00 90.00
Closest atoms and distances in Å follow each position.
Atoms (fractional coordinates):
1 P 0.0000 0.2500 0.5000  4 Os 2.28
2 P 0.0000 0.7500 0.5000  4 Os 2.28
3 P 0.5000 0.0000 0.7500  4 Os 2.28
4 P 0.7500 0.5000 0.0000  4 Os 2.28
5 P 0.5000 0.0000 0.2500  4 Os 2.28
6 P 0.2500 0.5000 0.0000  4 Os 2.28
7 Os 0.2500 0.0000 0.5000  4 P 2.28
8 Os 0.0000 0.5000 0.2500  4 P 2.28
9 Os 0.5000 0.7500 0.0000  4 P 2.28
10 Os 0.7500 0.0000 0.5000  4 P 2.28
11 Os 0.0000 0.5000 0.7500  4 P 2.28
12 Os 0.5000 0.2500 0.0000  4 P 2.28
13 Ce 0.5000 0.5000 0.5000  12 Os 3.61, 12 P 3.61
14 Ce 0.0000 0.0000 0.0000  12 Os 3.61, 12 P 3.61

=====

Entry 7:
## Ce2P4Os3 (PBE)

Data for a relaxed structure of Ce2P4Os3.

Summary:
SG: Fmmm
Crystal system: orthorhombic
Energy, Ry/atom: -0.5971

abc: 5.6602 5.6602 6.4807
angles: 102.25 102.25 120.94
Closest atoms and distances in Å follow each position.
Atoms (fractional coordinates):
1 Ce 0.6383 0.6383 0.2767  6 P 2.95-3.22, 6 Os 3.23-3.26, 1 Ce 3.24
2 Ce 0.3617 0.3617 0.7233  6 P 2.95-3.22, 6 Os 3.23-3.26, 1 Ce 3.24
3 P 0.0126 0.6862 0.6988  3 Os 2.39-2.40
4 P 0.6862 0.0126 0.6988  3 Os 2.39-2.40
5 P 0.9874 0.3138 0.3012  3 Os 2.39-2.40
6 P 0.3138 0.9874 0.3012  3 Os 2.39-2.40
7 Os 0.5000 0.0000 0.0000  4 P 2.40
8 Os 0.0000 0.0000 0.0000  4 P 2.39
9 Os 0.0000 0.5000 0.0000  4 P 2.40

=====

Entry 8:
## CeP2Os (PBE)

Data for a relaxed structure of CeP2Os.

Summary:
Energy above the lowest structure with this stoichiometry, meV per atom: 87.7
SG: Fmm2
Crystal system: orthorhombic
Energy, Ry/atom: -0.5769

abc: 4.0182 4.0182 9.7756
angles: 102.02 102.02 89.22
Closest atoms and distances in Å follow each position.
Atoms (fractional coordinates):
1 Ce 0.1244 0.1244 0.2240  8 P 2.88-3.20
2 Ce 0.9004 0.9004 0.7760  8 P 2.88-3.20
3 P 0.3205 0.3205 0.6332  4 Os 2.36-2.37
4 P 0.6873 0.6873 0.3668  4 Os 2.36-2.37
5 P 0.9332 0.5269 0.0000  1 P 2.29
6 P 0.5269 0.9332 0.0000  1 P 2.29
7 Os 0.2535 0.7535 0.5000  4 P 2.36-2.37
8 Os 0.7535 0.2535 0.5000  4 P 2.36-2.37